Version one
! PBE Pm5Pr3Sm, relaxed; values from VASP
! - space-group type = No. 12
! - DOS at the Fermi energy (states/eV/cell) = 26.75
! - total moment (μB/f.u.) = 0.0
! - calculated volume (Å³ per cell) = 675.9
&SYSTEM
  ibrav = 0, nat = 18, ntyp = 3
/
ATOMIC_SPECIES
Pm 145.00 Pm.upf
Pr 140.91 Pr.upf
Sm 150.36 Sm.upf
CELL_PARAMETERS angstrom
8.525 -4.227 0.000
8.525 4.227 0.000
-8.277 0.000 9.378
ATOMIC_POSITIONS crystal
Pm 0.020 0.407 0.774
Pm 0.057 0.057 0.420
Pm 0.182 0.818 0.000
Pm 0.341 0.341 0.649
Pm 0.407 0.020 0.774
Pm 0.593 0.980 0.226
Pm 0.659 0.659 0.351
Pm 0.818 0.182 0.000
Pm 0.943 0.943 0.580
Pm 0.980 0.593 0.226
Pr 0.138 0.138 0.945
Pr 0.206 0.206 0.307
Pr 0.500 0.500 0.000
Pr 0.500 0.500 0.500
Pr 0.794 0.794 0.693
Pr 0.862 0.862 0.055
Sm 0.389 0.389 0.130
Sm 0.611 0.611 0.870

=====

Version two
! PBE Pm5Pr3Sm, relaxed; values from VASP
! - space-group type = No. 15
! - DOS at the Fermi energy (states/eV/cell) = 27.61
! - total moment (μB/f.u.) = 0.0
! - calculated volume (Å³ per cell) = 657.2
&SYSTEM
  ibrav = 0, nat = 18, ntyp = 3
/
ATOMIC_SPECIES
Pm 145.00 Pm.upf
Pr 140.91 Pr.upf
Sm 150.36 Sm.upf
CELL_PARAMETERS angstrom
9.329 -3.274 0.000
9.329 3.274 0.000
-4.523 0.000 10.756
ATOMIC_POSITIONS crystal
Pm 0.028 0.635 0.285
Pm 0.033 0.648 0.986
Pm 0.095 0.905 0.750
Pm 0.352 0.967 0.514
Pm 0.365 0.972 0.215
Pm 0.635 0.028 0.785
Pm 0.648 0.033 0.486
Pm 0.905 0.095 0.250
Pm 0.967 0.352 0.014
Pm 0.972 0.365 0.715
Pr 0.149 0.510 0.630
Pr 0.490 0.851 0.870
Pr 0.500 0.500 0.000
Pr 0.500 0.500 0.500
Pr 0.510 0.149 0.130
Pr 0.851 0.490 0.370
Sm 0.374 0.626 0.250
Sm 0.626 0.374 0.750

=====

Which structure above is the least stable one? version one is the least stable one.